No. 1
IrOs2Se | PBEsol | relaxed

Calculated values
- mass density (g cm⁻³) = 18.0
- symmetry = C2/m (12)
- electronic total energy (eV per atom) = -8.67

a b c (Å): 5.4737 5.4737 2.8089
angles (deg): 104.44 104.44 123.11
Fractional positions:
Ir: 0.0000 0.0000 0.0000
Os: 0.0000 0.5000 0.5000
Os: 0.5000 0.0000 0.5000
Se: 0.5000 0.5000 0.0000



No. 2
IrOs2Se | PBEsol | relaxed

Calculated values
- mass density (g cm⁻³) = 18.6
- symmetry = P2/m (10)
- electronic total energy (eV per atom) = -8.94

a b c (Å): 2.8555 4.0053 5.2687
angles (deg): 90.00 104.71 90.00
Fractional positions:
Ir: 0.0000 0.0000 0.0000
Os: 0.3714 0.5000 0.7459
Os: 0.6286 0.5000 0.2541
Se: 0.0000 0.0000 0.5000



No. 3
SiIr2Os | PBEsol | relaxed

Calculated values
- mass density (g cm⁻³) = 18.3
- symmetry = Imm2 (44)
- electronic total energy (eV per atom) = -9.54

a b c (Å): 5.2390 5.2390 5.2390
angles (deg): 148.99 131.75 58.47
Fractional positions:
Si: 0.0000 0.0000 0.0000
Ir: 0.2123 0.7123 0.5000
Ir: 0.5059 0.5059 0.0000
Os: 0.7878 0.2878 0.5000